A PBEsol-optimized structure of Eu3Sb5O12. Source: Alexandria via LeMat-Bulk, functional meta-GGA SCAN.

Results
ΔE_f (raw) = -2.09 eV per atom
Calculated total energy = -23.20 eV/atom

Lattice parameters (Å, degrees): 9.3706 9.3706 9.3706 109.47 109.47 109.47
Positions (direct):
Sb 0.0000 0.2731 0.2731
Sb 0.2731 0.2731 0.0000
Sb 0.0000 0.7269 0.7269
Sb 0.2731 0.0000 0.2731
Sb 0.5099 0.5099 0.5099
Sb 0.4901 0.0000 0.0000
Sb 0.7269 0.0000 0.7269
Sb 0.0000 0.4901 0.0000
Sb 0.0000 0.0000 0.4901
Sb 0.7269 0.7269 0.0000
O 0.5130 0.5130 0.7934
O 0.0000 0.2804 0.4870
O 0.5130 0.7934 0.5130
O 0.8006 0.5284 0.0000
O 0.0000 0.5284 0.8006
O 0.8006 0.0000 0.5284
O 0.0000 0.4870 0.2804
O 0.2804 0.0000 0.4870
O 0.4716 0.4716 0.2722
O 0.2066 0.7196 0.7196
O 0.2804 0.4870 0.0000
O 0.4716 0.2722 0.4716
O 0.4870 0.0000 0.2804
O 0.5284 0.0000 0.8006
O 0.7196 0.2066 0.7196
O 0.7278 0.1994 0.1994
O 0.7196 0.7196 0.2066
O 0.4870 0.2804 0.0000
O 0.0000 0.8006 0.5284
O 0.2722 0.4716 0.4716
O 0.1994 0.7278 0.1994
O 0.5284 0.8006 0.0000
O 0.7934 0.5130 0.5130
O 0.1994 0.1994 0.7278
Eu 0.7500 0.2500 0.5000
Eu 0.5000 0.2500 0.7500
Eu 0.2500 0.5000 0.7500
Eu 0.5000 0.7500 0.2500
Eu 0.7500 0.5000 0.2500
Eu 0.2500 0.7500 0.5000